[1]
! LaNdY (PBE, relaxed); values from VASP
&SYSTEM
  ibrav = 0, nat = 6, ntyp = 3
/
ATOMIC_SPECIES
La 138.91 La.upf
Nd 144.24 Nd.upf
Y 88.91 Y.upf
CELL_PARAMETERS angstrom
2.5999 -7.7609 0.0000
2.5999 7.7609 0.0000
0.0000 0.0000 5.2025
ATOMIC_POSITIONS crystal
La 0.0835 0.9165 0.7500
La 0.9165 0.0835 0.2500
Nd 0.4150 0.5850 0.7500
Nd 0.5850 0.4150 0.2500
Y 0.2491 0.7509 0.2500
Y 0.7509 0.2491 0.7500
! Magnetic moment in μB per formula unit: 0.0
! ΔE_f in eV per atom: 0.025
! Density in g cm⁻³: 5.89
! Energy in eV per formula unit: -16.1
! Fermi-level density of states in states/eV/f.u.: 5.42

---

[2]
! La4NdY8 (PBE, relaxed); values from VASP
&SYSTEM
  ibrav = 0, nat = 13, ntyp = 3
/
ATOMIC_SPECIES
La 138.91 La.upf
Nd 144.24 Nd.upf
Y 88.91 Y.upf
CELL_PARAMETERS angstrom
5.5935 3.2294 4.5554
-5.5935 3.2294 4.5554
0.0000 -6.4588 4.5554
ATOMIC_POSITIONS crystal
La 0.0000 0.0000 0.0000
La 0.0000 0.5000 0.5000
La 0.5000 0.0000 0.5000
La 0.5000 0.5000 0.0000
Nd 0.5000 0.5000 0.5000
Y 0.2399 0.2399 0.2399
Y 0.2395 0.2395 0.7594
Y 0.2395 0.7594 0.2395
Y 0.2406 0.7605 0.7605
Y 0.7594 0.2395 0.2395
Y 0.7605 0.2406 0.7605
Y 0.7605 0.7605 0.2406
Y 0.7601 0.7601 0.7601
! Magnetic moment in μB per formula unit: 3.0
! ΔE_f in eV per atom: 0.537
! Density in g cm⁻³: 4.75
! Energy in eV per formula unit: -69.2
! Fermi-level density of states in states/eV/f.u.: 24.53

---

[3]
! LaNd5Y5 (PBE, relaxed); values from VASP
&SYSTEM
  ibrav = 0, nat = 11, ntyp = 3
/
ATOMIC_SPECIES
La 138.91 La.upf
Nd 144.24 Nd.upf
Y 88.91 Y.upf
CELL_PARAMETERS angstrom
6.1873 0.0000 0.0000
-3.0936 5.3583 0.0000
0.0000 0.0000 11.9563
ATOMIC_POSITIONS crystal
La 0.0000 0.0000 0.0000
Nd 0.0000 0.0000 0.3205
Nd 0.0000 0.0000 0.6795
Nd 0.3333 0.6667 0.1553
Nd 0.3333 0.6667 0.8447
Nd 0.6667 0.3333 0.0000
Y 0.5004 0.0009 0.5000
Y 0.5004 0.4996 0.5000
Y 0.6667 0.3333 0.2628
Y 0.6667 0.3333 0.7372
Y 0.9991 0.4996 0.5000
! Magnetic moment in μB per formula unit: 0.0
! ΔE_f in eV per atom: 0.299
! Density in g cm⁻³: 5.47
! Energy in eV per formula unit: -57.8
! Fermi-level density of states in states/eV/f.u.: 24.17

---

[4]
! LaNd2Y8 (PBE, relaxed); values from VASP
&SYSTEM
  ibrav = 0, nat = 11, ntyp = 3
/
ATOMIC_SPECIES
La 138.91 La.upf
Nd 144.24 Nd.upf
Y 88.91 Y.upf
CELL_PARAMETERS angstrom
8.3324 -3.3584 0.0000
8.3324 3.3584 0.0000
-1.0693 0.0000 6.6881
ATOMIC_POSITIONS crystal
La 0.0000 0.0000 0.0000
Nd 0.2436 0.2436 0.3015
Nd 0.7564 0.7564 0.6985
Y 0.1742 0.6467 0.5922
Y 0.2064 0.2064 0.7960
Y 0.3533 0.8258 0.4078
Y 0.4114 0.4114 0.0949
Y 0.5886 0.5886 0.9051
Y 0.6467 0.1742 0.5922
Y 0.7936 0.7936 0.2040
Y 0.8258 0.3533 0.4078
! Magnetic moment in μB per formula unit: 0.0
! ΔE_f in eV per atom: 0.164
! Density in g cm⁻³: 5.05
! Energy in eV per formula unit: -64.4
! Fermi-level density of states in states/eV/f.u.: 19.68

---

[5]
! La2Nd3Y2 (PBE, relaxed); values from VASP
&SYSTEM
  ibrav = 0, nat = 7, ntyp = 3
/
ATOMIC_SPECIES
La 138.91 La.upf
Nd 144.24 Nd.upf
Y 88.91 Y.upf
CELL_PARAMETERS angstrom
6.0401 -1.8393 0.0000
6.0401 1.8393 0.0000
-1.1052 0.0000 10.9672
ATOMIC_POSITIONS crystal
La 0.2158 0.2158 0.3557
La 0.7842 0.7842 0.6443
Nd 0.3580 0.3580 0.9297
Nd 0.5000 0.5000 0.5000
Nd 0.6420 0.6420 0.0703
Y 0.0700 0.0700 0.7881
Y 0.9300 0.9300 0.2119
! Magnetic moment in μB per formula unit: 0.0
! ΔE_f in eV per atom: 0.010
! Density in g cm⁻³: 6.05
! Energy in eV per formula unit: -37.0
! Fermi-level density of states in states/eV/f.u.: 10.04

---

[6]
! La5Nd5Y (PBE, relaxed); values from VASP
&SYSTEM
  ibrav = 0, nat = 11, ntyp = 3
/
ATOMIC_SPECIES
La 138.91 La.upf
Nd 144.24 Nd.upf
Y 88.91 Y.upf
CELL_PARAMETERS angstrom
6.3353 0.0000 0.0000
-3.1677 5.4865 0.0000
0.0000 0.0000 11.7019
ATOMIC_POSITIONS crystal
La 0.0000 0.0000 0.0000
La 0.3333 0.6667 0.3187
La 0.3333 0.6667 0.6813
La 0.6667 0.3333 0.1533
La 0.6667 0.3333 0.8467
Nd 0.0000 0.0000 0.2633
Nd 0.0000 0.0000 0.7367
Nd 0.3381 0.1691 0.5000
Nd 0.8309 0.1691 0.5000
Nd 0.8309 0.6619 0.5000
Y 0.3333 0.6667 0.0000
! Magnetic moment in μB per formula unit: 0.0
! ΔE_f in eV per atom: 0.251
! Density in g cm⁻³: 6.14
! Energy in eV per formula unit: -52.2
! Fermi-level density of states in states/eV/f.u.: 18.78

---

Q: What is the formula in the sixth record?
A: La5Nd5Y